[1]
DFT (PBE) results for LiSm3Cd4 after structural relaxation.

Structure (POSCAR):
```
LiSm3Cd4
1.0
5.065 0.000 1.495
2.312 4.507 1.495
0.046 0.028 9.172
Li Cd Sm
1 4 3
direct
0.000 0.000 0.000 Li
0.880 0.880 0.360 Cd
0.627 0.627 0.120 Cd
0.373 0.373 0.880 Cd
0.120 0.120 0.640 Cd
0.748 0.748 0.756 Sm
0.252 0.252 0.244 Sm
0.500 0.500 0.500 Sm
```

## Properties
The magnetic moment comes out at 0.0 μB/f.u. The value obtained for the total energy is -2.744 eV/atom.



[2]
DFT (PBE) results for LiSmCdSn after structural relaxation.

Structure (POSCAR):
```
LiSmCdSn
1.0
5.171 0.000 0.000
2.586 4.478 0.000
2.586 1.493 4.222
Li Cd Sn Sm
1 1 1 1
direct
0.000 0.000 0.000 Li
0.750 0.750 0.750 Cd
0.250 0.250 0.250 Sn
0.500 0.500 0.500 Sm
```

## Properties
The magnetic moment comes out at 0.0 μB/f.u. The value obtained for the total energy is -3.343 eV/atom.



[3]
DFT (PBE) results for Li2SmCd2Sn2 after structural relaxation.

Structure (POSCAR):
```
Li2SmCd2Sn2
1.0
-1.029 -3.076 -3.413
-0.829 -4.510 1.067
-8.723 -0.824 0.125
Cd Li Sm Sn
2 2 1 2
direct
0.441 0.441 0.677 Cd
0.559 0.559 0.323 Cd
0.143 0.143 0.571 Li
0.857 0.857 0.429 Li
0.000 0.000 0.000 Sm
0.264 0.264 0.208 Sn
0.736 0.736 0.792 Sn
```

## Properties
The magnetic moment comes out at 0.0 μB/f.u. The value obtained for the total energy is -3.057 eV/atom.



[4]
DFT (PBE) results for LiSmCdSn after structural relaxation.

Structure (POSCAR):
```
LiSmCdSn
1.0
4.320 0.000 0.000
0.000 4.618 0.000
0.000 0.000 4.926
Cd Sn Sm Li
1 1 1 1
direct
0.000 0.000 0.000 Cd
0.000 0.500 0.500 Sn
0.500 0.000 0.500 Sm
0.500 0.500 0.000 Li
```

## Properties
The magnetic moment comes out at 0.0 μB/f.u. The value obtained for the total energy is -3.336 eV/atom.